Entry 1:
# PBE AcErGa2Ir2, relaxed
# formation energy	-0.775	eV per atom
data_AcErGa2Ir2
_chemical_formula_sum 'Ac1 Er1 Ga2 Ir2'
_space_group_name_H-M_alt 'P -3 m 1'
_space_group_IT_number 164
_space_group_name_Hall '-P 3 2"'
_cell_length_a 4.4440
_cell_length_b 4.4440
_cell_length_c 7.5902
_cell_angle_alpha 90.00
_cell_angle_beta 90.00
_cell_angle_gamma 120.00
loop_
_atom_site_label
_atom_site_fract_x
_atom_site_fract_y
_atom_site_fract_z
Ac1 0.0000 0.0000 0.0000
Er1 0.0000 0.0000 0.5000
Ga1 0.3333 0.6667 0.2948
Ir1 0.3333 0.6667 0.7100



Entry 2:
# PBE AcLaErGa, relaxed
# formation energy	0.017	eV per atom
data_AcLaErGa
_chemical_formula_sum 'Ac4 La4 Er4 Ga4'
_space_group_name_H-M_alt 'F -4 3 m'
_space_group_IT_number 216
_space_group_name_Hall 'F -4 2 3'
_cell_length_a 7.882
_cell_length_b 7.882
_cell_length_c 7.882
_cell_angle_alpha 90.00
_cell_angle_beta 90.00
_cell_angle_gamma 90.00
loop_
_atom_site_label
_atom_site_fract_x
_atom_site_fract_y
_atom_site_fract_z
Ac1 0.000 0.000 0.000
La1 0.250 0.250 0.250
Er1 0.250 0.250 0.750
Ga1 0.000 0.000 0.500



Entry 3:
# PBE AcErLuGa, relaxed
# formation energy	0.097	eV per atom
data_AcErLuGa
_chemical_formula_sum 'Ac4 Er4 Lu4 Ga4'
_space_group_name_H-M_alt 'F -4 3 m'
_space_group_IT_number 216
_space_group_name_Hall 'F -4 2 3'
_cell_length_a 7.689
_cell_length_b 7.689
_cell_length_c 7.689
_cell_angle_alpha 90.00
_cell_angle_beta 90.00
_cell_angle_gamma 90.00
loop_
_atom_site_label
_atom_site_fract_x
_atom_site_fract_y
_atom_site_fract_z
Ac1 0.000 0.000 0.000
Er1 0.250 0.250 0.250
Lu1 0.250 0.250 0.750
Ga1 0.000 0.000 0.500